Density functional theory data (PBE-GGA) for a geometry-optimized Mn2InFe structure.

Computed properties:
DFT formation energy   9.9 kcal/mol of atoms
Raw total energy   -6.95 eV per atom

Cell: 2.8872 2.8872 25.0511 Å, 90.00 90.00 120.00°
Space group R-3m (No. 166, hexagonal axes)
Unique sites:
Mn  0.0000  0.0000  0.2391 [6 per cell]
In  0.0000  0.0000  0.0000 [3 per cell]
Fe  0.0000  0.0000  0.5000 [3 per cell]

=====

Density functional theory data (PBE-GGA) for a geometry-optimized LiY2Cl structure.

Computed properties:
ΔE to the lowest computed polymorph   284 meV per atom
Formation energy (no corrections)   -355 meV per atom
Raw total energy   -4.53 eV per atom

Cell: 7.650 8.014 3.383 Å, 90.00 108.26 90.00°
Space group C2/m (No. 12)
Unique sites:
Li  0.000  0.000  0.000 [2 per cell]
Y  0.250  0.250  0.500 [4 per cell]
Cl  0.000  0.500  0.000 [2 per cell]

=====

Density functional theory data (PBE-GGA) for a geometry-optimized BeGaCu6 structure.

Computed properties:
ΔE to the lowest computed polymorph   0 meV per atom
DFT formation energy   -1.1 kcal/mol of atoms
Raw total energy   -3.96 eV per atom

Cell: 3.671 3.671 7.022 Å, 90.00 90.00 90.00°
Space group P4/mmm (No. 123)
Unique sites:
Be  0.000  0.000  0.000 [1 per cell]
Ga  0.000  0.000  0.500 [1 per cell]
Cu  0.000  0.500  0.236 [4 per cell]
Cu  0.500  0.500  0.000 [1 per cell]
Cu  0.500  0.500  0.500 [1 per cell]

=====

Density functional theory data (PBE-GGA) for a geometry-optimized ZrTaAl2 structure.

Computed properties:
ΔE to the lowest computed polymorph   237 meV per atom
DFT formation energy   -2.1 kcal/mol of atoms
Raw total energy   -7.06 eV per atom

Cell: 4.035 4.351 8.341 Å, 90.00 90.00 90.00°
Space group Cmm2 (No. 35)
Unique sites:
Zr  0.000  0.000  0.000 [2 per cell]
Ta  0.000  0.500  0.716 [2 per cell]
Al  0.000  0.000  0.486 [2 per cell]
Al  0.000  0.500  0.256 [2 per cell]

=====

Density functional theory data (PBE-GGA) for a geometry-optimized NiIr structure.

Computed properties:
DFT formation energy   1.9 kcal/mol of atoms
Raw total energy   -7.24 eV per atom

Cell: 2.651 9.803 3.941 Å, 90.00 90.00 90.00°
Space group Cmcm (No. 63)
Unique sites:
Ni  0.000  0.065  0.250 [4 per cell]
Ir  0.000  0.322  0.250 [4 per cell]

=====

Density functional theory data (PBE-GGA) for a geometry-optimized PmSn3Rh3 structure.

Computed properties:
ΔE to the lowest computed polymorph   395 meV per atom
DFT formation energy   -1.6 kcal/mol of atoms
Raw total energy   -5.61 eV per atom

Cell: 7.154 7.154 7.154 Å, 90.00 90.00 90.00°
Space group Pm-3n (No. 223)
Unique sites:
Pm  0.000  0.000  0.000 [2 per cell]
Sn  0.000  0.250  0.500 [6 per cell]
Rh  0.000  0.500  0.250 [6 per cell]

=====

Density functional theory data (PBE-GGA) for a geometry-optimized Ni3MoH structure.

Computed properties:
ΔE to the lowest computed polymorph   1909 meV per atom
Raw total energy   -4.37 eV per atom

Cell: 4.524 4.524 4.524 Å, 90.00 90.00 90.00°
Space group Pm-3m (No. 221)
Unique sites:
Ni  0.000  0.000  0.500 [3 per cell]
Mo  0.000  0.000  0.000 [1 per cell]
H  0.500  0.500  0.500 [1 per cell]

=====

Density functional theory data (PBE-GGA) for a geometry-optimized NdSm2Y2Er2 structure.

Computed properties:
DFT formation energy   2.1 kcal/mol of atoms
Raw total energy   -5.09 eV per atom

Cell: 11.748 3.528 11.838 Å, 90.00 108.68 90.00°
Space group C2/m (No. 12)
Unique sites:
Nd  0.000  0.000  0.000 [2 per cell]
Sm  0.171  0.500  0.584 [4 per cell]
Y  0.050  0.500  0.273 [4 per cell]
Er  0.226  0.000  0.862 [4 per cell]